[1]
DFT (PBE) results for a geometry-optimized Ce3In2Ag4 structure.

The space group is C2/m (No. 12) and the conventional cell measures 10.849, 4.996 and 9.289 Å, with angles of 90.00, 122.84 and 90.00 degrees. Symmetry generates all atoms from Ce at (0.000, 0.000, 0.000), Ce at (0.165, 0.500, 0.671), In at (0.114, 0.500, 0.281), Ag at (0.060, 0.000, 0.395) and Ag at (0.220, 0.500, 0.052).

The energy of formation comes out at -265.9 meV per atom.



[2]
DFT (PBE) results for a geometry-optimized YEr3Ag structure.

The space group is C2/m (No. 12) and the conventional cell measures 11.027, 7.412 and 7.670 Å, with angles of 90.00, 111.35 and 90.00 degrees. Symmetry generates all atoms from Y at (0.058, 0.000, 0.241), Er at (0.060, 0.500, 0.242), Er at (0.163, 0.251, 0.650) and Ag at (0.246, 0.500, 0.000).

The energy of formation comes out at -10.6 meV per atom.